Record 1
A plane-wave DFT calculation with PBE was carried out for HfCu3Pt4 after structural relaxation.

Properties
The calculated density is 16.036 g/cm³. As for the size of the total moment: 0.00 μB/f.u. For the energy of formation from the pure elements, the calculation gives -0.558 eV per atom. For the density of states at the Fermi level, the calculation gives 0.471 states/eV/atom.

```
data_HfCu3Pt4
_space_group_name_H-M_alt 'C 1 2/m 1'
_space_group_IT_number 12
_cell_length_a 15.288
_cell_length_b 4.016
_cell_length_c 4.017
_cell_angle_alpha 90.00
_cell_angle_beta 105.15
_cell_angle_gamma 90.00
loop_
_space_group_symop_operation_xyz
'x,y,z'
'-x,-y,-z'
'-x,y,-z'
'x,-y,z'
'x+1/2,y+1/2,z'
'-x+1/2,-y+1/2,-z'
'-x+1/2,y+1/2,-z'
'x+1/2,-y+1/2,z'
loop_
_atom_site_label
_atom_site_type_symbol
_atom_site_fract_x
_atom_site_fract_y
_atom_site_fract_z
Hf1 Hf 0.000 0.000 0.000
Cu1 Cu 0.000 0.500 0.500
Cu2 Cu 0.247 0.500 0.748
Pt1 Pt 0.128 0.000 0.628
Pt2 Pt 0.128 0.500 0.129
```



Record 2
A plane-wave DFT calculation with PBE was carried out for HfCuPt3 after structural relaxation.

Properties
The calculated density is 14.684 g/cm³. As for the size of the total moment: 0.00 μB/f.u. For the energy of formation from the pure elements, the calculation gives 0.318 eV per atom. For the density of states at the Fermi level, the calculation gives 1.140 states/eV/atom. As for the relative energy among the computed polymorphs: 5.74 eV per formula unit.

```
data_HfCuPt3
_space_group_name_H-M_alt 'P m -3 m'
_space_group_IT_number 221
_space_group_name_Hall '-P 4 2 3'
_cell_length_a 4.540
_cell_length_b 4.540
_cell_length_c 4.540
_cell_angle_alpha 90.00
_cell_angle_beta 90.00
_cell_angle_gamma 90.00
loop_
_atom_site_label
_atom_site_type_symbol
_atom_site_fract_x
_atom_site_fract_y
_atom_site_fract_z
Hf1 Hf 0.000 0.000 0.000
Cu1 Cu 0.500 0.500 0.500
Pt1 Pt 0.000 0.500 0.500
```



Record 3
A plane-wave DFT calculation with PBE was carried out for HfCuPt3 after structural relaxation.

Properties
The calculated density is 11.583 g/cm³. As for the size of the total moment: 0.00 μB/f.u. For the energy of formation from the pure elements, the calculation gives 0.863 eV per atom. For the density of states at the Fermi level, the calculation gives 0.576 states/eV/atom. As for the relative energy among the computed polymorphs: 8.47 eV per formula unit.

```
data_HfCuPt3
_space_group_name_H-M_alt 'P m -3 m'
_space_group_IT_number 221
_space_group_name_Hall '-P 4 2 3'
_cell_length_a 4.913
_cell_length_b 4.913
_cell_length_c 4.913
_cell_angle_alpha 90.00
_cell_angle_beta 90.00
_cell_angle_gamma 90.00
loop_
_atom_site_label
_atom_site_type_symbol
_atom_site_fract_x
_atom_site_fract_y
_atom_site_fract_z
Hf1 Hf 0.000 0.000 0.000
Cu1 Cu 0.500 0.500 0.500
Pt1 Pt 0.000 0.000 0.500
```